Computed, not measured: crystalline ScOsBr2 at its relaxed geometry at the GGA-PBE level of DFT.

magnetic moment: 0.0 μB/cell
uncorrected energy: -5.35 eV per atom

Lattice parameters (Å, degrees): 3.172 3.172 8.949 90.00 90.00 90.00
Space group P4mm (No. 99)
Asymmetric unit:
Sc 0.000 0.000 0.000
Os 0.500 0.500 0.798
Br 0.000 0.000 0.608
Br 0.500 0.500 0.204